A relaxed structure of LiHfTh. Source: the Alexandria database, functional PBE.

Calculated values
Energy above the most stable polymorph in this dataset = 0.0000 eV per atom
Total DFT energy (no corrections) = -6.24 eV per atom
Calculated volume = 23.7 Å³ per atom
Energy of formation from the pure elements = 186 meV per atom
Magnetic moment = 0.00 μB per formula unit

Unit cell a=3.348 b=5.351 c=8.391 alpha=108.63 beta=89.98 gamma=90.00
Fractional coordinates of all 6 atoms:
Th1 0.749 0.094 0.688
Th2 0.251 0.906 0.312
Li1 0.250 0.563 0.628
Li2 0.750 0.437 0.372
Hf1 0.750 0.730 0.960
Hf2 0.250 0.270 0.040